A plane-wave DFT calculation with GGA-PBE was carried out for a relaxed Mn2CoOs crystal.

Summary:
Energy relative to the elements in meV/atom: 106
Electronic total energy in eV/cell: -36.25

Unit cell a=4.400 b=4.400 c=4.428 alpha=80.23 beta=80.23 gamma=34.13
Fractional positions:
Co: 0.251 0.251 0.238
Mn: 0.000 0.000 0.005
Mn: 0.748 0.748 0.756
Os: 0.501 0.501 0.501